1.
Below is Ni3As at its PBEsol-relaxed geometry, with properties calculated at the meta-GGA SCAN level.

Values from the calculation:
calculated volume = 11.43 A^3/atom
uncorrected energy = -138.30 eV/cell
calculated density = 9.11 g/cm3

Structure (POSCAR):
```
Ni3As
1.0
4.162 0.000 0.000
0.000 4.884 0.000
0.000 2.442 4.499
Ni As
6 2
direct
0.250 0.591 0.314 Ni
0.250 0.095 0.314 Ni
0.750 0.409 0.686 Ni
0.750 0.905 0.686 Ni
0.750 0.917 0.166 Ni
0.250 0.083 0.834 Ni
0.750 0.379 0.242 As
0.250 0.621 0.758 As
```

2.
Below is Ni3As at its PBEsol-relaxed geometry, with properties calculated at the meta-GGA SCAN level.

Values from the calculation:
calculated volume = 11.09 A^3/atom
uncorrected energy = -69.23 eV/cell
calculated density = 9.40 g/cm3

Structure (POSCAR):
```
Ni3As
1.0
-1.776 -2.199 1.925
2.723 -0.079 2.422
-1.950 3.862 -0.425
Ni As
3 1
direct
0.500 0.000 0.000 Ni
0.260 0.260 0.520 Ni
0.740 0.740 0.480 Ni
0.000 0.500 0.000 As
```

3.
Below is Ni2As at its PBEsol-relaxed geometry, with properties calculated at the meta-GGA SCAN level.

Values from the calculation:
calculated volume = 11.84 A^3/atom
uncorrected energy = -106.15 eV/cell
calculated density = 8.99 g/cm3

Structure (POSCAR):
```
Ni2As
1.0
3.509 0.000 0.000
0.000 3.523 0.000
0.000 1.762 5.747
Ni As
4 2
direct
0.250 0.753 0.493 Ni
0.750 0.579 0.842 Ni
0.750 0.247 0.507 Ni
0.250 0.421 0.158 Ni
0.750 0.891 0.217 As
0.250 0.109 0.783 As
```

4.
Below is Ni2As at its PBEsol-relaxed geometry, with properties calculated at the meta-GGA SCAN level.

Values from the calculation:
calculated volume = 12.47 A^3/atom
uncorrected energy = -51.82 eV/cell
calculated density = 8.53 g/cm3

Structure (POSCAR):
```
Ni2As
1.0
-1.682 -1.418 1.602
-0.012 -2.977 -2.648
2.719 0.065 2.912
Ni As
2 1
direct
0.500 0.667 0.333 Ni
0.500 0.333 0.667 Ni
0.000 0.000 0.000 As
```

5.
Below is Ni2As at its PBEsol-relaxed geometry, with properties calculated at the meta-GGA SCAN level.

Values from the calculation:
calculated volume = 12.29 A^3/atom
uncorrected energy = -52.24 eV/cell
calculated density = 8.66 g/cm3

Structure (POSCAR):
```
Ni2As
1.0
2.795 0.000 0.000
-1.398 2.421 0.000
0.000 0.000 5.448
Ni As
2 1
direct
0.333 0.667 0.674 Ni
0.667 0.333 0.326 Ni
0.000 0.000 0.000 As
```

6.
Below is Ni3As at its PBEsol-relaxed geometry, with properties calculated at the meta-GGA SCAN level.

Values from the calculation:
calculated volume = 11.80 A^3/atom
uncorrected energy = -277.19 eV/cell
calculated density = 8.83 g/cm3

Structure (POSCAR):
```
Ni3As
1.0
4.268 0.000 0.000
0.000 6.428 0.000
0.000 0.000 6.884
Ni As
12 4
direct
0.921 0.972 0.250 Ni
0.925 0.682 0.566 Ni
0.425 0.818 0.066 Ni
0.425 0.818 0.434 Ni
0.079 0.028 0.750 Ni
0.925 0.682 0.934 Ni
0.575 0.182 0.566 Ni
0.421 0.528 0.750 Ni
0.579 0.472 0.250 Ni
0.075 0.318 0.066 Ni
0.575 0.182 0.934 Ni
0.075 0.318 0.434 Ni
0.568 0.877 0.750 As
0.068 0.623 0.250 As
0.432 0.123 0.250 As
0.932 0.377 0.750 As
```

7.
Below is NiAs3 at its PBEsol-relaxed geometry, with properties calculated at the meta-GGA SCAN level.

Values from the calculation:
calculated volume = 16.79 A^3/atom
uncorrected energy = -76.24 eV/cell
calculated density = 7.01 g/cm3

Structure (POSCAR):
```
NiAs3
1.0
-0.163 0.626 3.233
-3.783 -0.452 -0.103
2.567 -5.296 -0.526
As Ni
3 1
direct
0.677 0.677 0.353 As
0.323 0.323 0.647 As
0.500 0.000 0.000 As
0.000 0.500 0.000 Ni
```

8.
Below is NiAs2O4 at its PBEsol-relaxed geometry, with properties calculated at the meta-GGA SCAN level.

Values from the calculation:
calculated volume = 13.38 A^3/atom
uncorrected energy = -363.44 eV/cell
calculated density = 4.83 g/cm3
energy relative to the elements, uncorrected = -1.340 eV/atom

Structure (POSCAR):
```
NiAs2O4
1.0
-0.345 4.541 3.330
1.720 -4.626 6.485
7.950 1.412 -1.102
Ni O As
4 16 8
direct
0.750 0.000 0.500 Ni
0.250 0.000 0.500 Ni
0.250 0.500 0.000 Ni
0.750 0.500 0.000 Ni
0.000 0.360 0.896 O
0.750 0.821 0.321 O
0.500 0.896 0.640 O
0.250 0.179 0.679 O
0.750 0.179 0.679 O
0.750 0.679 0.821 O
0.500 0.396 0.860 O
0.000 0.640 0.104 O
0.250 0.679 0.821 O
0.500 0.104 0.360 O
0.250 0.321 0.179 O
0.000 0.140 0.396 O
0.750 0.321 0.179 O
0.000 0.860 0.604 O
0.500 0.604 0.140 O
0.250 0.821 0.321 O
0.000 0.670 0.319 As
0.500 0.681 0.670 As
0.000 0.330 0.681 As
0.000 0.830 0.819 As
0.000 0.170 0.181 As
0.500 0.819 0.170 As
0.500 0.181 0.830 As
0.500 0.319 0.330 As
```

9.
Below is NiAsO2 at its PBEsol-relaxed geometry, with properties calculated at the meta-GGA SCAN level.

Values from the calculation:
calculated volume = 11.53 A^3/atom
uncorrected energy = -100.94 eV/cell
calculated density = 5.97 g/cm3
energy relative to the elements, uncorrected = -0.411 eV/atom

Structure (POSCAR):
```
NiAsO2
1.0
3.986 0.000 0.000
-1.993 6.025 -1.155
0.000 1.982 3.459
Ni As O
2 2 4
direct
0.500 0.000 0.500 Ni
0.250 0.500 0.250 Ni
0.750 0.500 0.750 As
0.000 0.000 0.000 As
0.607 0.750 0.375 O
0.375 0.250 0.143 O
0.875 0.250 0.607 O
0.143 0.750 0.875 O
```

10.
Below is NiAsO3 at its PBEsol-relaxed geometry, with properties calculated at the meta-GGA SCAN level.

Values from the calculation:
calculated volume = 9.80 A^3/atom
uncorrected energy = -57.46 eV/cell
calculated density = 6.16 g/cm3
energy relative to the elements, uncorrected = -0.481 eV/atom

Structure (POSCAR):
```
NiAsO3
1.0
-3.026 2.053 -0.130
-1.932 -2.758 1.431
0.705 1.253 3.365
As O Ni
1 3 1
direct
0.000 0.000 0.000 As
0.500 0.500 0.000 O
0.000 0.500 0.500 O
0.500 0.000 0.500 O
0.500 0.500 0.500 Ni
```

11.
Below is Ni3AsO at its PBEsol-relaxed geometry, with properties calculated at the meta-GGA SCAN level.

Values from the calculation:
calculated volume = 11.17 A^3/atom
uncorrected energy = -75.70 eV/cell
calculated density = 7.94 g/cm3
energy relative to the elements, uncorrected = -0.151 eV/atom

Structure (POSCAR):
```
Ni3AsO
1.0
3.822 0.000 0.000
0.000 3.822 0.000
0.000 0.000 3.822
Ni As O
3 1 1
direct
0.000 0.000 0.500 Ni
0.000 0.500 0.000 Ni
0.500 0.000 0.000 Ni
0.500 0.500 0.500 As
0.000 0.000 0.000 O
```

12.
Below is NiAs2O6 at its PBEsol-relaxed geometry, with properties calculated at the meta-GGA SCAN level.

Values from the calculation:
calculated volume = 9.70 A^3/atom
uncorrected energy = -106.17 eV/cell
calculated density = 5.79 g/cm3
energy relative to the elements, uncorrected = -1.358 eV/atom

Structure (POSCAR):
```
NiAs2O6
1.0
-0.683 -1.531 4.045
1.649 -4.301 -1.349
3.025 3.287 1.755
As O Ni
2 6 1
direct
0.500 0.333 0.667 As
0.500 0.667 0.333 As
0.267 0.359 0.359 O
0.267 0.000 0.641 O
0.733 0.000 0.359 O
0.733 0.359 0.000 O
0.267 0.641 0.000 O
0.733 0.641 0.641 O
0.000 0.000 0.000 Ni
```

- calculated volume of number 9 (NiAsO2)?
  11.53 A^3/atom